1.
! CeHo2Rh, optimized geometry, DFT PBE; values from VASP
&SYSTEM
  ibrav = 0, nat = 4, ntyp = 3
/
ATOMIC_SPECIES
Rh 102.91 Rh.upf
Ho 164.93 Ho.upf
Ce 140.12 Ce.upf
CELL_PARAMETERS angstrom
3.4700 0.0000 0.0000
1.7350 3.0051 0.0000
1.7350 1.0017 10.4892
ATOMIC_POSITIONS crystal
Rh 0.5000 0.5000 0.5000
Ho 0.1066 0.1066 0.6803
Ho 0.8934 0.8934 0.3197
Ce 0.0000 0.0000 0.0000
! Formation energy from the elements in kJ/mol of atoms: -12
! Energy relative to the lowest polymorph listed for this composition in meV/atom: 348.9
! Calculated total energy in eV for the cell shown: -22.9

=====

2.
! LiYPdC2, optimized geometry, DFT PBE; values from VASP
&SYSTEM
  ibrav = 0, nat = 5, ntyp = 4
/
ATOMIC_SPECIES
Y 88.91 Y.upf
C 12.01 C.upf
Pd 106.42 Pd.upf
Li 6.94 Li.upf
CELL_PARAMETERS angstrom
4.0549 0.0000 0.0000
0.0000 4.0316 0.0000
0.0000 0.0000 4.0549
ATOMIC_POSITIONS crystal
Y 0.5000 0.5000 0.5000
C 0.0000 0.0000 0.5000
C 0.5000 0.0000 0.0000
Pd 0.0000 0.5000 0.0000
Li 0.0000 0.0000 0.0000
! Formation energy from the elements in kJ/mol of atoms: 112
! Calculated total energy in eV for the cell shown: -26.2